{
  "formula": "PmReAs2",
  "functional": "PBE-GGA",
  "state": "optimized geometry",
  "delta_e_f_ev_per_fu": -2.014,
  "sg": "R-3m, No. 166",
  "total_energy_ev_per_cell": -28.51,
  "density_g_cm3": 10.1,
  "m_tot_mub_per_atom": 0.000,
  "lattice": [[4.305, 0.000, 0.000], [2.152, 3.728, 0.000], [2.152, 1.243, 4.928]],
  "species": ["Re", "Pm", "As", "As"],
  "fractional_positions": [[0.500, 0.500, 0.500], [0.000, 0.000, 0.000], [0.781, 0.781, 0.656], [0.219, 0.219, 0.344]]
}

***

{
  "formula": "Pm2ReAs",
  "functional": "PBE-GGA",
  "state": "optimized geometry",
  "delta_e_f_ev_per_fu": -0.751,
  "sg": "P4/mmm, No. 123",
  "total_energy_ev_per_cell": -27.35,
  "density_g_cm3": 10.0,
  "m_tot_mub_per_atom": 0.000,
  "lattice": [[-1.030, -3.579, -0.514], [4.207, -1.511, 2.092], [-2.198, -0.002, 4.419]],
  "species": ["Re", "As", "Pm", "Pm"],
  "fractional_positions": [[0.500, 0.000, 0.000], [0.500, 0.500, 0.500], [0.000, 0.500, 0.000], [0.000, 0.000, 0.500]]
}